K2FeCuSb | PBE-GGA | relaxed

- Symmetry: P4/mmm, No. 123
- Uncorrected formation energy: 14.51 kcal/mol of atoms
- DFT total energy: -3.1460 eV/atom
- DOS(E_F): 6.7 states/eV/cell

Cell: 6.8157 4.9786 6.8157 Å, 90.00 90.00 90.00°
Closest atoms and distances in Å follow each position.
Element x y z (fractional)
K 0.5000 0.0000 0.0000  2 Sb 3.41
K 0.0000 0.0000 0.5000  2 Sb 3.41
Fe 0.0000 0.5000 0.0000  2 Sb 2.49
Sb 0.0000 0.0000 0.0000  2 Fe 2.49
Cu 0.5000 0.5000 0.5000  8 K 4.22